(1)
Computed, not measured: an optimized crystal structure of ZnCoSnSe3 at the PBE-GGA level of DFT.

Cell lengths 6.951, 6.951, 9.613 Å; angles 90.00, 90.00, 147.92 degrees
Fractional coordinates of all 12 atoms:
1 Zn 0.031 0.969 0.750
2 Zn 0.969 0.031 0.250
3 Co 0.500 0.500 0.000
4 Co 0.500 0.500 0.500
5 Sn 0.260 0.740 0.250
6 Sn 0.740 0.260 0.750
7 Se 0.126 0.874 0.536
8 Se 0.126 0.874 0.964
9 Se 0.419 0.581 0.750
10 Se 0.581 0.419 0.250
11 Se 0.874 0.126 0.036
12 Se 0.874 0.126 0.464

Summary:
Space-group type: Cmcm
ΔE to the lowest computed polymorph (meV/atom): 4.0

***

(2)
Computed, not measured: an optimized crystal structure of TlTcAuSe3 at the PBE-GGA level of DFT.

Cell lengths 12.546, 3.344, 12.951 Å; angles 90.00, 90.00, 90.00 degrees
Fractional coordinates of all 24 atoms:
1 Tl 0.128 0.250 0.024
2 Tl 0.372 0.750 0.524
3 Tl 0.628 0.250 0.476
4 Tl 0.872 0.750 0.976
5 Tc 0.044 0.250 0.633
6 Tc 0.456 0.750 0.133
7 Tc 0.544 0.250 0.867
8 Tc 0.956 0.750 0.367
9 Au 0.225 0.750 0.851
10 Au 0.275 0.250 0.351
11 Au 0.725 0.750 0.649
12 Au 0.775 0.250 0.149
13 Se 0.029 0.750 0.775
14 Se 0.090 0.250 0.439
15 Se 0.238 0.250 0.674
16 Se 0.262 0.750 0.174
17 Se 0.410 0.750 0.939
18 Se 0.471 0.250 0.275
19 Se 0.529 0.750 0.725
20 Se 0.590 0.250 0.061
21 Se 0.738 0.250 0.826
22 Se 0.762 0.750 0.326
23 Se 0.910 0.750 0.561
24 Se 0.971 0.250 0.225

Summary:
Space-group type: Pnma
ΔE to the lowest computed polymorph (meV/atom): 14.6